Record 1
DFT (PBE) results for crystalline Mg5Si6 at its relaxed geometry.

Results
The polymorph energy (0 for the lowest one) is 0.048 eV/atom. The calculation puts the uncorrected formation energy at 0.07 eV/atom. Its total energy is -3.610 eV per atom. For the total magnetization, the calculation gives 0.0000 μB/atom.

a b c (Å): 5.3989 5.5705 13.8496
angles (deg): 84.13 87.58 81.58
Element x y z (fractional)
Mg1 0.0000 0.0000 0.0000
Mg2 0.0058 0.3662 0.6154
Mg3 0.0905 0.9223 0.4503
Mg4 0.2495 0.0769 0.2042
Mg5 0.2976 0.4687 0.3537
Mg6 0.4529 0.3151 0.9871
Mg7 0.5466 0.2248 0.7668
Mg8 0.5553 0.0796 0.5541
Mg9 0.7992 0.7473 0.2131
Mg10 0.9910 0.5184 0.8463
Si1 0.0464 0.8638 0.6480
Si2 0.0864 0.0435 0.7972
Si3 0.3085 0.6104 0.1382
Si4 0.4275 0.7168 0.8518
Si5 0.4320 0.5672 0.5857
Si6 0.5473 0.8167 0.0075
Si7 0.5514 0.9615 0.3694
Si8 0.6617 0.7186 0.7031
Si9 0.7178 0.2660 0.1632
Si10 0.7640 0.5753 0.4443
Si11 0.8335 0.2691 0.3291
Si12 0.9562 0.4922 0.0462

---

Record 2
DFT (PBE) results for crystalline LiCeUS4 at its relaxed geometry.

Results
The calculation puts the uncorrected formation energy at -1.57 eV/atom. Its total energy is -6.661 eV per atom. For the total magnetization, the calculation gives 0.4287 μB/atom.

a b c (Å): 8.0698 8.0698 8.0698
angles (deg): 120.94 119.27 89.82
Element x y z (fractional)
Li1 0.3701 0.1201 0.2500
Li2 0.6299 0.8799 0.7500
Ce1 0.0000 0.5000 0.5000
Ce2 0.5000 0.5000 0.0000
U1 0.0000 0.0000 0.5000
U2 0.0000 0.5000 0.0000
S1 0.2251 0.7465 0.4786
S2 0.2322 0.2535 0.9786
S3 0.2369 0.2458 0.5088
S4 0.2369 0.7281 0.9912
S5 0.7631 0.2719 0.0088
S6 0.7631 0.7542 0.4912
S7 0.7678 0.7465 0.0214
S8 0.7749 0.2535 0.5214

---

Record 3
DFT (PBE) results for crystalline PrTmBeAg at its relaxed geometry.

Results
Its total energy is -3.971 eV per atom. For the energy of formation, the calculation gives -0.01 eV per atom. For the total magnetization, the calculation gives 0.0000 μB/atom.

a b c (Å): 5.0926 5.0926 5.0926
angles (deg): 60.00 60.00 60.00
Element x y z (fractional)
Pr1 0.0000 0.0000 0.0000
Tm1 0.5000 0.5000 0.5000
Be1 0.2500 0.2500 0.2500
Ag1 0.7500 0.7500 0.7500

---

Record 4
DFT (PBE) results for crystalline Ce2PmN3 at its relaxed geometry.

Results
The polymorph energy (0 for the lowest one) is 0.314 eV/atom. The calculation puts the uncorrected formation energy at -1.18 eV/atom. Its total energy is -8.110 eV per atom. For the total magnetization, the calculation gives 0.2152 μB/atom.

a b c (Å): 6.1044 6.1044 6.5507
angles (deg): 90.00 90.00 120.00
Element x y z (fractional)
Ce1 0.3333 0.6667 0.0000
Ce2 0.3333 0.6667 0.5000
Ce3 0.6667 0.3333 0.0000
Ce4 0.6667 0.3333 0.5000
Pm1 0.0000 0.0000 0.2500
Pm2 0.0000 0.0000 0.7500
N1 0.0000 0.3962 0.2500
N2 0.0000 0.6038 0.7500
N3 0.3962 0.0000 0.2500
N4 0.3962 0.3962 0.7500
N5 0.6038 0.0000 0.7500
N6 0.6038 0.6038 0.2500

---

Record 5
DFT (PBE) results for crystalline Pa3Fe6Si2 at its relaxed geometry.

Results
The calculation puts the uncorrected formation energy at -0.45 eV/atom. Its total energy is -8.639 eV per atom. For the total magnetization, the calculation gives 0.1804 μB/atom.

a b c (Å): 7.4970 7.4970 7.4970
angles (deg): 109.47 109.47 109.47
Element x y z (fractional)
Pa1 0.0000 0.2844 0.2844
Pa2 0.0000 0.7156 0.7156
Pa3 0.2844 0.0000 0.2844
Pa4 0.2844 0.2844 0.0000
Pa5 0.7156 0.0000 0.7156
Pa6 0.7156 0.7156 0.0000
Fe1 0.0000 0.3484 0.6516
Fe2 0.0000 0.6516 0.3484
Fe3 0.3033 0.6516 0.6516
Fe4 0.3484 0.0000 0.6516
Fe5 0.3484 0.3484 0.6967
Fe6 0.3484 0.6516 0.0000
Fe7 0.3484 0.6967 0.3484
Fe8 0.6516 0.0000 0.3484
Fe9 0.6516 0.3033 0.6516
Fe10 0.6516 0.3484 0.0000
Fe11 0.6516 0.6516 0.3033
Fe12 0.6967 0.3484 0.3484
Si1 0.0000 0.0000 0.5000
Si2 0.0000 0.5000 0.0000
Si3 0.5000 0.0000 0.0000
Si4 0.5000 0.5000 0.5000

---

Record 6
DFT (PBE) results for crystalline KHg3Pt at its relaxed geometry.

Results
The polymorph energy (0 for the lowest one) is 0.303 eV/atom. Its total energy is -1.574 eV per atom. For the energy of formation, the calculation gives 0.03 eV per atom. For the total magnetization, the calculation gives 0.0000 μB/atom.

a b c (Å): 9.0624 9.0624 5.1967
angles (deg): 90.00 90.00 125.67
Element x y z (fractional)
K1 0.2284 0.7716 0.7500
K2 0.7716 0.2284 0.2500
Hg1 0.0954 0.3252 0.7500
Hg2 0.3252 0.0954 0.2500
Hg3 0.5000 0.5000 0.0000
Hg4 0.5000 0.5000 0.5000
Hg5 0.6748 0.9046 0.7500
Hg6 0.9046 0.6748 0.2500
Pt1 0.0204 0.9796 0.7500
Pt2 0.9796 0.0204 0.2500

---

Record 7
DFT (PBE) results for crystalline Zr2CdNiH at its relaxed geometry.

Results
Its total energy is -5.621 eV per atom. For the total magnetization, the calculation gives 0.0914 μB/atom.

a b c (Å): 4.4827 4.4827 3.8896
angles (deg): 90.00 90.00 90.00
Element x y z (fractional)
Zr1 0.0000 0.5000 0.0000
Zr2 0.5000 0.0000 0.0000
Cd1 0.0000 0.0000 0.5000
Ni1 0.5000 0.5000 0.5000
H1 0.5000 0.5000 0.0000

---

Record 8
DFT (PBE) results for crystalline BeBP at its relaxed geometry.

Results
The polymorph energy (0 for the lowest one) is 0.050 eV/atom. Its total energy is -5.219 eV per atom. For the energy of formation, the calculation gives 0.05 eV per atom. For the total magnetization, the calculation gives 0.0000 μB/atom.

a b c (Å): 3.5201 3.5201 7.7411
angles (deg): 99.67 99.67 50.26
Element x y z (fractional)
Be1 0.0000 0.0000 0.0000
Be2 0.2140 0.2140 0.5521
B1 0.3756 0.3756 0.3574
B2 0.8872 0.8872 0.4613
P1 0.3251 0.3251 0.1085
P2 0.9426 0.9426 0.7163

---

Record 9
DFT (PBE) results for crystalline B2C at its relaxed geometry.

Results
The polymorph energy (0 for the lowest one) is 0.189 eV/atom. Its total energy is -7.152 eV per atom. For the energy of formation, the calculation gives 0.37 eV per atom. For the total magnetization, the calculation gives 0.0000 μB/atom.

a b c (Å): 2.7158 2.7158 15.0629
angles (deg): 90.00 90.00 120.00
Element x y z (fractional)
B1 0.0000 0.0000 0.0000
B2 0.0000 0.0000 0.1234
B3 0.0000 0.0000 0.4160
B4 0.0000 0.0000 0.6794
B5 0.3333 0.6667 0.2392
B6 0.3333 0.6667 0.8002
B7 0.6667 0.3333 0.3042
B8 0.6667 0.3333 0.9442
C1 0.3333 0.6667 0.1349
C2 0.3333 0.6667 0.6894
C3 0.6667 0.3333 0.4082
C4 0.6667 0.3333 0.8432

---

Record 10
DFT (PBE) results for crystalline As2OsPt at its relaxed geometry.

Results
The polymorph energy (0 for the lowest one) is 0.238 eV/atom. Its total energy is -6.307 eV per atom. For the energy of formation, the calculation gives 0.33 eV per atom. For the total magnetization, the calculation gives 0.0001 μB/atom.

a b c (Å): 4.4459 4.4459 3.2144
angles (deg): 90.00 90.00 93.04
Element x y z (fractional)
As1 0.0000 0.5000 0.0000
As2 0.5000 0.0000 0.0000
Os1 0.0000 0.0000 0.5000
Pt1 0.5000 0.5000 0.5000

---

Record 11
DFT (PBE) results for crystalline TcPbSN2 at its relaxed geometry.

Results
The polymorph energy (0 for the lowest one) is 1.741 eV/atom. The calculation puts the uncorrected formation energy at 2.12 eV/atom. Its total energy is -4.852 eV per atom. For the total magnetization, the calculation gives 1.2717 μB/atom.

a b c (Å): 4.1810 4.1810 5.6494
angles (deg): 90.00 90.00 90.00
Element x y z (fractional)
Tc1 0.0000 0.0000 0.0000
Pb1 0.5000 0.5000 0.5000
S1 0.5000 0.5000 0.0000
N1 0.0000 0.5000 0.5000
N2 0.5000 0.0000 0.5000

---

Record 12
DFT (PBE) results for crystalline Ga4Ni7Ir at its relaxed geometry.

Results
Its total energy is -5.084 eV per atom. For the energy of formation, the calculation gives 0.04 eV per atom. For the total magnetization, the calculation gives 0.0765 μB/atom.

a b c (Å): 5.2857 5.2857 8.8011
angles (deg): 118.07 118.07 50.05
Element x y z (fractional)
Ga1 0.0987 0.0987 0.2737
Ga2 0.2485 0.2485 0.8292
Ga3 0.7515 0.7515 0.1708
Ga4 0.9013 0.9013 0.7263
Ni1 0.0000 0.0000 0.5000
Ni2 0.1402 0.1402 0.0226
Ni3 0.2850 0.2850 0.5840
Ni4 0.4375 0.4375 0.1631
Ni5 0.5625 0.5625 0.8369
Ni6 0.7150 0.7150 0.4160
Ni7 0.8598 0.8598 0.9774
Ir1 0.5000 0.5000 0.5000

---

Record 13
DFT (PBE) results for crystalline CaSmY4 at its relaxed geometry.

Results
Its total energy is -5.385 eV per atom. For the energy of formation, the calculation gives 0.04 eV per atom. For the total magnetization, the calculation gives 0.0000 μB/atom.

a b c (Å): 8.9995 8.9995 6.3445
angles (deg): 96.71 96.71 23.36
Element x y z (fractional)
Ca1 0.0000 0.0000 0.0000
Sm1 0.5000 0.5000 0.5000
Y1 0.1683 0.1683 0.3927
Y2 0.3282 0.3282 0.1129
Y3 0.6718 0.6718 0.8871
Y4 0.8317 0.8317 0.6073

---

Record 14
DFT (PBE) results for crystalline KGe2F at its relaxed geometry.

Results
The polymorph energy (0 for the lowest one) is 0.651 eV/atom. The calculation puts the uncorrected formation energy at 0.17 eV/atom. Its total energy is -2.881 eV per atom. For the total magnetization, the calculation gives 0.0000 μB/atom.

a b c (Å): 5.0284 5.0284 5.0284
angles (deg): 60.00 60.00 60.00
Element x y z (fractional)
K1 0.0000 0.0000 0.0000
Ge1 0.2500 0.2500 0.2500
Ge2 0.7500 0.7500 0.7500
F1 0.5000 0.5000 0.5000

---

Record 15
DFT (PBE) results for crystalline In2HgCl at its relaxed geometry.

Results
The polymorph energy (0 for the lowest one) is 0.118 eV/atom. The calculation puts the uncorrected formation energy at -0.25 eV/atom. Its total energy is -2.160 eV per atom. For the total magnetization, the calculation gives 0.0000 μB/atom.

a b c (Å): 3.4743 3.4743 10.3092
angles (deg): 90.00 90.00 116.69
Element x y z (fractional)
In1 0.0000 0.0000 0.0000
In2 0.5000 0.5000 0.2799
Hg1 0.5000 0.5000 0.7384
Cl1 0.0000 0.0000 0.4754

---

Record 16
DFT (PBE) results for crystalline LiBeAu at its relaxed geometry.

Results
The polymorph energy (0 for the lowest one) is 0.011 eV/atom. Its total energy is -3.149 eV per atom. For the energy of formation, the calculation gives -0.18 eV per atom. For the total magnetization, the calculation gives 0.0000 μB/atom.

a b c (Å): 4.0872 4.0872 2.8487
angles (deg): 90.00 90.00 120.00
Element x y z (fractional)
Li1 0.0000 0.0000 0.0000
Be1 0.3333 0.6667 0.4953
Au1 0.6667 0.3333 0.5013

---

Record 17
DFT (PBE) results for crystalline Pr12TlSi6 at its relaxed geometry.

Results
The calculation puts the uncorrected formation energy at -0.50 eV/atom. Its total energy is -5.360 eV per atom. For the total magnetization, the calculation gives 0.0000 μB/atom.

a b c (Å): 9.0006 9.0006 9.0006
angles (deg): 109.47 109.47 109.47
Element x y z (fractional)
Pr1 0.1097 0.8118 0.2979
Pr2 0.1882 0.2979 0.4861
Pr3 0.1882 0.7021 0.8903
Pr4 0.2979 0.1097 0.8118
Pr5 0.2979 0.4861 0.1882
Pr6 0.4861 0.1882 0.2979
Pr7 0.5139 0.8118 0.7021
Pr8 0.7021 0.5139 0.8118
Pr9 0.7021 0.8903 0.1882
Pr10 0.8118 0.2979 0.1097
Pr11 0.8118 0.7021 0.5139
Pr12 0.8903 0.1882 0.7021
Tl1 0.0000 0.0000 0.0000
Si1 0.1130 0.6130 0.5000
Si2 0.3870 0.5000 0.8870
Si3 0.5000 0.1130 0.6130
Si4 0.5000 0.8870 0.3870
Si5 0.6130 0.5000 0.1130
Si6 0.8870 0.3870 0.5000

---

Record 18
DFT (PBE) results for crystalline Cs3AgPd2I9 at its relaxed geometry.

Results
The calculation puts the uncorrected formation energy at -0.72 eV/atom. Its total energy is -2.707 eV per atom. For the total magnetization, the calculation gives 0.0000 μB/atom.

a b c (Å): 8.1445 8.1445 9.9848
angles (deg): 90.00 90.00 120.00
Element x y z (fractional)
Cs1 0.0000 0.0000 0.0000
Cs2 0.3333 0.6667 0.6654
Cs3 0.6667 0.3333 0.3346
Ag1 0.0000 0.0000 0.5000
Pd1 0.3333 0.6667 0.1629
Pd2 0.6667 0.3333 0.8371
I1 0.0000 0.5000 0.0000
I2 0.1711 0.3422 0.3249
I3 0.1711 0.8289 0.3249
I4 0.3422 0.1711 0.6751
I5 0.5000 0.0000 0.0000
I6 0.5000 0.5000 0.0000
I7 0.6578 0.8289 0.3249
I8 0.8289 0.1711 0.6751
I9 0.8289 0.6578 0.6751

---

Record 19
DFT (PBE) results for crystalline TcNi2Au at its relaxed geometry.

Results
The polymorph energy (0 for the lowest one) is 0.251 eV/atom. Its total energy is -6.006 eV per atom. For the energy of formation, the calculation gives 0.30 eV per atom. For the total magnetization, the calculation gives 0.9278 μB/atom.

a b c (Å): 3.9941 3.9941 3.4805
angles (deg): 90.00 90.00 90.00
Element x y z (fractional)
Tc1 0.0000 0.0000 0.0000
Ni1 0.0000 0.5000 0.5000
Ni2 0.5000 0.0000 0.5000
Au1 0.5000 0.5000 0.0000

---

Record 20
DFT (PBE) results for crystalline CsNaPbSe2 at its relaxed geometry.

Results
The calculation puts the uncorrected formation energy at -0.88 eV/atom. Its total energy is -3.445 eV per atom. For the total magnetization, the calculation gives 0.0000 μB/atom.

a b c (Å): 8.3762 8.3762 10.1932
angles (deg): 96.49 96.49 34.47
Element x y z (fractional)
Cs1 0.1710 0.1710 0.1671
Cs2 0.8290 0.8290 0.8329
Na1 0.1876 0.1876 0.5565
Na2 0.8124 0.8124 0.4435
Pb1 0.4413 0.4413 0.3069
Pb2 0.5587 0.5587 0.6931
Se1 0.1405 0.1405 0.8151
Se2 0.3712 0.3712 0.5562
Se3 0.6288 0.6288 0.4438
Se4 0.8595 0.8595 0.1849

---

Record 21
DFT (PBE) results for crystalline HfMg4Ag5 at its relaxed geometry.

Results
Its total energy is -3.231 eV per atom. For the energy of formation, the calculation gives -0.17 eV per atom. For the total magnetization, the calculation gives 0.0442 μB/atom.

a b c (Å): 3.3313 3.3313 16.9053
angles (deg): 90.00 90.00 90.00
Element x y z (fractional)
Hf1 0.0000 0.0000 0.0000
Mg1 0.0000 0.0000 0.2054
Mg2 0.0000 0.0000 0.4025
Mg3 0.0000 0.0000 0.5975
Mg4 0.0000 0.0000 0.7946
Ag1 0.5000 0.5000 0.1070
Ag2 0.5000 0.5000 0.3055
Ag3 0.5000 0.5000 0.5000
Ag4 0.5000 0.5000 0.6945
Ag5 0.5000 0.5000 0.8930

---

Record 22
DFT (PBE) results for crystalline La2YOs at its relaxed geometry.

Results
The polymorph energy (0 for the lowest one) is 0.419 eV/atom. Its total energy is -6.629 eV per atom. For the energy of formation, the calculation gives 0.26 eV per atom. For the total magnetization, the calculation gives 0.0000 μB/atom.

a b c (Å): 4.9002 4.9002 4.3867
angles (deg): 90.00 90.00 90.07
Element x y z (fractional)
La1 0.0000 0.5000 0.0000
La2 0.5000 0.0000 0.0000
Y1 0.0000 0.0000 0.5000
Os1 0.5000 0.5000 0.5000